A relaxed HoBeHg crystal, computed with PBE.

Cell: 7.144 4.404 7.527 Å, 90.00 90.00 90.00°
Positions (direct):
1 Ho 0.005 0.250 0.215
2 Ho 0.495 0.750 0.715
3 Ho 0.505 0.250 0.285
4 Ho 0.995 0.750 0.785
5 Be 0.200 0.750 0.417
6 Be 0.300 0.250 0.917
7 Be 0.700 0.750 0.083
8 Be 0.800 0.250 0.583
9 Hg 0.209 0.250 0.585
10 Hg 0.291 0.750 0.085
11 Hg 0.709 0.250 0.915
12 Hg 0.791 0.750 0.415

ΔH_f (0 K), eV/f.u.: -0.6

=====

A relaxed Na2TbNdSe4 crystal, computed with PBE.

Cell: 7.319 4.225 7.425 Å, 90.00 109.17 90.00°
Positions (direct):
1 Na 0.000 0.000 0.000
2 Na 0.500 0.500 0.000
3 Tb 0.000 0.500 0.500
4 Nd 0.500 0.000 0.500
5 Se 0.238 0.000 0.732
6 Se 0.249 0.500 0.265
7 Se 0.751 0.500 0.735
8 Se 0.762 0.000 0.268

Formation energy (no corrections), eV/atom: -1.69

=====

A relaxed Ca2Sn2Bi3 crystal, computed with PBE.

Cell: 12.146 4.503 9.958 Å, 90.00 120.84 90.00°
Positions (direct):
1 Ca 0.231 0.000 0.192
2 Ca 0.269 0.500 0.808
3 Ca 0.731 0.500 0.192
4 Ca 0.769 0.000 0.808
5 Sn 0.183 0.000 0.523
6 Sn 0.317 0.500 0.477
7 Sn 0.683 0.500 0.523
8 Sn 0.817 0.000 0.477
9 Bi 0.000 0.500 0.000
10 Bi 0.054 0.000 0.790
11 Bi 0.446 0.500 0.210
12 Bi 0.500 0.000 0.000
13 Bi 0.554 0.500 0.790
14 Bi 0.946 0.000 0.210

ΔH_f (0 K), eV/f.u.: -2.7

=====

A relaxed ThAlFe2H6 crystal, computed with PBE.

Cell: 5.780 5.780 5.780 Å, 43.57 43.57 43.57°
Positions (direct):
1 Th 0.000 0.000 0.000
2 Al 0.500 0.500 0.500
3 Fe 0.206 0.206 0.206
4 Fe 0.794 0.794 0.794
5 H 0.067 0.565 0.565
6 H 0.435 0.435 0.933
7 H 0.435 0.933 0.435
8 H 0.565 0.067 0.565
9 H 0.565 0.565 0.067
10 H 0.933 0.435 0.435

Raw total energy, eV/cell: -51.22

=====

Number 1: V 19.73 A^3/atom, total moment 0.0 μB per cell. Number 2: V 27.11 A^3/atom, total moment 0.0 μB per cell. Number 3: V 33.40 A^3/atom, total moment 0.0 μB per cell. Number 4: V 8.33 A^3/atom, total moment 1.0 μB per cell.